Entry 1:
Density functional theory data (PBE-GGA) for an optimized crystal structure of ZrPt5Au2.

Lattice parameters (Å, degrees): 4.9050 4.9050 7.0607 116.83 116.83 72.57
Last column: nearest neighbours and their distance in Å.
Element x y z (fractional)
Au1 0.2540 0.2540 0.5080  9 Pt 2.85-2.89, 2 Au 2.90, 1 Zr 2.97
Au2 0.7460 0.7460 0.4920  9 Pt 2.85-2.89, 2 Au 2.90, 1 Zr 2.97
Pt1 0.8774 0.3774 0.7548  2 Zr 2.84, 6 Pt 2.84-2.98, 4 Au 2.85-2.89
Pt2 0.3774 0.8774 0.7548  6 Pt 2.84-2.98, 2 Zr 2.84, 4 Au 2.85-2.89
Pt3 0.5000 0.5000 0.0000  8 Pt 2.84, 2 Au 2.88, 2 Zr 2.90
Pt4 0.1226 0.6226 0.2452  6 Pt 2.84-2.98, 2 Zr 2.84, 4 Au 2.85-2.89
Pt5 0.6226 0.1226 0.2452  2 Zr 2.84, 6 Pt 2.84-2.98, 4 Au 2.85-2.89
Zr1 0.0000 0.0000 0.0000  10 Pt 2.84-2.90, 2 Au 2.97

electronic total energy = -48.96 eV per cell
symmetry = Fmmm (69)

***

Entry 2:
Density functional theory data (PBE-GGA) for an optimized crystal structure of LiZr2Pb.

Lattice parameters (Å, degrees): 5.6028 5.6028 5.6028 134.95 134.95 65.61
Last column: nearest neighbours and their distance in Å.
Element x y z (fractional)
Zr1 0.0000 0.0000 0.0000  4 Li 3.04, 4 Pb 3.19, 4 Zr 3.19
Zr2 0.2500 0.7500 0.5000  4 Pb 3.04, 4 Zr 3.19, 4 Li 3.19
Pb1 0.7500 0.2500 0.5000  8 Zr 3.04-3.19, 4 Li 3.19
Li1 0.5000 0.5000 0.0000  8 Zr 3.04-3.19, 4 Pb 3.19

electronic total energy = -22.76 eV per cell
symmetry = I-4m2 (119)

***

Entry 3:
Density functional theory data (PBE-GGA) for an optimized crystal structure of Co2PRh.

Lattice parameters (Å, degrees): 3.4735 2.7327 5.2369 74.86 90.00 90.00
Last column: nearest neighbours and their distance in Å.
Element x y z (fractional)
P1 0.0000 0.7144 0.4463  5 Co 2.16-2.36, 2 Rh 2.32
Co1 0.5000 0.2963 0.2825  4 P 2.36, 4 Co 2.58
Co2 0.0000 0.9276 0.0198  1 P 2.16
Rh1 0.5000 0.5618 0.7514  2 P 2.32, 4 Co 2.59

electronic total energy = -27.83 eV per cell
symmetry = Amm2 (38)

***

Which value of electronic total energy does entry 2 give?
-22.76 eV per cell